First-principles (PBE-GGA) data for Li2GdPt after structural relaxation, as listed in Alexandria via LeMat-Bulk.

Calculated values
Energy relative to the elements in meV/atom: 2
Total energy in eV/atom: -5.986
Space group: R-3m, No. 166
Spin magnetization in μB per formula unit: 7.57

a = 2.983 Å, b = 2.983 Å, c = 10.424 Å
α = 81.77°, β = 81.77°, γ = 60.00°
Site moments in Bohr magnetons follow the coordinates.
Fractional positions:
Pt: 0.500 0.500 0.500  -0.02
Gd: 0.000 0.000 0.000  7.37
Li: 0.898 0.898 0.307  0.00
Li: 0.102 0.102 0.693  0.00